# 1
Crystalline AgH2Pd6 at its relaxed geometry, computed with GGA-PBE.

a = 2.7947 Å, b = 9.3136 Å, c = 4.8987 Å
α = 95.21°, β = 73.43°, γ = 81.37°
Fractional coordinates of all 9 atoms:
1 Ag 0.0000 0.0000 0.0000
2 H 0.8867 0.7423 0.4843
3 H 0.1133 0.2577 0.5157
4 Pd 0.3552 0.8651 0.4244
5 Pd 0.6448 0.1349 0.5756
6 Pd 0.7096 0.7230 0.8578
7 Pd 0.9124 0.4268 0.7484
8 Pd 0.2904 0.2770 0.1422
9 Pd 0.0876 0.5732 0.2516

Computed properties:
total magnetic moment	0.00	μB/cell
ρ	10.39	Mg/m³
total DFT energy (no corrections)	-40.80	eV/cell



# 2
Crystalline Co2SiPb at its relaxed geometry, computed with GGA-PBE.

a = 2.9217 Å, b = 2.9198 Å, c = 8.1382 Å
α = 58.30°, β = 90.00°, γ = 90.00°
Site moments in Bohr magnetons follow the coordinates.
Fractional coordinates of all 4 atoms:
1 Co 0.0000 0.9787 0.9303  0.41
2 Co 0.0000 0.5213 0.5697  0.41
3 Pb 0.5000 0.2500 0.2500  0.01
4 Si 0.5000 0.7500 0.7500  -0.02

Computed properties:
total magnetic moment	0.76	μB/cell
ρ	9.93	Mg/m³
total DFT energy (no corrections)	-23.03	eV/cell
energy relative to the lowest polymorph listed for this composition	0.038	eV/atom
raw formation energy	78	meV/atom



# 3
Crystalline Ac5TbSn4 at its relaxed geometry, computed with GGA-PBE.

a = 5.5998 Å, b = 7.7144 Å, c = 11.8886 Å
α = 129.10°, β = 103.62°, γ = 90.00°
Fractional coordinates of all 10 atoms:
1 Ac 0.8330 0.6722 0.6661
2 Ac 0.8363 0.1755 0.6727
3 Ac 0.1637 0.8245 0.3273
4 Ac 0.5000 0.5000 0.0000
5 Ac 0.1670 0.3278 0.3339
6 Tb 0.5000 0.0000 0.0000
7 Sn 0.3286 0.9054 0.6573
8 Sn 0.9931 0.7543 0.9862
9 Sn 0.6714 0.0946 0.3427
10 Sn 0.0069 0.2457 0.0138

Computed properties:
total magnetic moment	0.00	μB/cell
energy relative to the elements	-4.98	eV/f.u.
ρ	7.73	Mg/m³
total DFT energy (no corrections)	-46.16	eV/cell



# 4
Crystalline GaMoPt at its relaxed geometry, computed with GGA-PBE.

a = 3.2476 Å, b = 3.2476 Å, c = 10.0276 Å
α = 99.32°, β = 99.32°, γ = 90.00°
Fractional coordinates of all 6 atoms:
1 Mo 0.2823 0.2823 0.5646
2 Mo 0.7177 0.7177 0.4354
3 Pt 0.1312 0.1312 0.2623
4 Pt 0.8688 0.8688 0.7377
5 Ga 0.5633 0.5633 0.1267
6 Ga 0.4367 0.4367 0.8733

Computed properties:
total magnetic moment	0.00	μB/cell
energy relative to the elements	-0.53	eV/f.u.
ρ	11.64	Mg/m³
total DFT energy (no corrections)	-40.86	eV/cell



# 5
Crystalline LiLaRu2 at its relaxed geometry, computed with GGA-PBE.

a = 4.5845 Å, b = 4.5845 Å, c = 4.5845 Å
α = 60.00°, β = 60.00°, γ = 60.00°
Fractional coordinates of all 4 atoms:
1 Ru 0.2500 0.2500 0.2500
2 Ru 0.7500 0.7500 0.7500
3 Li 0.0000 0.0000 0.0000
4 La 0.5000 0.5000 0.5000

Computed properties:
total magnetic moment	0.00	μB/cell
energy relative to the elements	0.98	eV/f.u.
ρ	8.48	Mg/m³
total DFT energy (no corrections)	-24.41	eV/cell
energy relative to the lowest polymorph listed for this composition	0.231	eV/atom



# 6
Crystalline TiTcSb2 at its relaxed geometry, computed with GGA-PBE.

a = 4.2378 Å, b = 4.2378 Å, c = 9.8735 Å
α = 77.61°, β = 77.61°, γ = 90.00°
Site moments in Bohr magnetons follow the coordinates.
Fractional coordinates of all 8 atoms:
1 Sb 0.6328 0.1250 0.2500  0.01
2 Sb 0.1172 0.6250 0.2500  0.01
3 Sb 0.3750 0.3672 0.7500  0.00
4 Sb 0.8750 0.8828 0.7500  0.00
5 Tc 0.0000 0.0000 0.0000  0.68
6 Tc 0.7500 0.2500 0.5000  0.69
7 Ti 0.5000 0.5000 0.0000  -0.16
8 Ti 0.2500 0.7500 0.5000  -0.17

Computed properties:
total magnetic moment	1.13	μB/cell
ρ	7.65	Mg/m³
total DFT energy (no corrections)	-50.43	eV/cell
energy relative to the lowest polymorph listed for this composition	0.352	eV/atom
raw formation energy	322	meV/atom



# 7
Crystalline V2Pd7Au2 at its relaxed geometry, computed with GGA-PBE.

a = 4.4191 Å, b = 6.7463 Å, c = 7.1751 Å
α = 118.04°, β = 107.94°, γ = 90.00°
Site moments in Bohr magnetons follow the coordinates.
Fractional coordinates of all 11 atoms:
1 V 0.0000 0.6448 0.0000  1.09
2 V 0.5000 0.3149 0.0000  1.44
3 Pd 0.1375 0.0526 0.2749  0.02
4 Pd 0.1252 0.4585 0.2505  0.08
5 Pd 0.5000 0.9281 0.0000  -0.01
6 Pd 0.3599 0.4682 0.7198  0.06
7 Pd 0.6401 0.7484 0.2802  0.06
8 Pd 0.8625 0.7777 0.7251  0.02
9 Pd 0.8748 0.2080 0.7495  0.08
10 Au 0.2938 0.9203 0.5877  0.01
11 Au 0.7062 0.3326 0.4123  0.01

Computed properties:
total magnetic moment	3.18	μB/cell
energy relative to the elements	-0.73	eV/f.u.
ρ	11.64	Mg/m³
total DFT energy (no corrections)	-61.87	eV/cell
energy relative to the lowest polymorph listed for this composition	0.000	eV/atom



# 8
Crystalline ZrCoSb2 at its relaxed geometry, computed with GGA-PBE.

a = 7.3636 Å, b = 7.3636 Å, c = 6.0679 Å
α = 52.64°, β = 52.64°, γ = 90.00°
Fractional coordinates of all 8 atoms:
1 Sb 0.5684 0.1250 0.2500
2 Sb 0.1816 0.6250 0.2500
3 Sb 0.3750 0.4316 0.7500
4 Sb 0.8750 0.8184 0.7500
5 Co 0.5000 0.5000 0.0000
6 Co 0.2500 0.7500 0.5000
7 Zr 0.0000 0.0000 0.0000
8 Zr 0.7500 0.2500 0.5000

Computed properties:
total magnetic moment	0.00	μB/cell
ρ	7.74	Mg/m³
total DFT energy (no corrections)	-48.32	eV/cell
raw formation energy	-66	meV/atom



# 9
Crystalline CsCaRe2 at its relaxed geometry, computed with GGA-PBE.

a = 4.9814 Å, b = 4.9814 Å, c = 4.9814 Å
α = 60.00°, β = 60.00°, γ = 60.00°
Fractional coordinates of all 4 atoms:
1 Cs 0.5000 0.5000 0.5000
2 Re 0.2500 0.2500 0.2500
3 Re 0.7500 0.7500 0.7500
4 Ca 0.0000 0.0000 0.0000

Computed properties:
total magnetic moment	0.00	μB/cell
energy relative to the elements	9.66	eV/f.u.
ρ	10.36	Mg/m³
total DFT energy (no corrections)	-18.09	eV/cell



# 10
Crystalline PaAgHgBi at its relaxed geometry, computed with GGA-PBE.

a = 5.2235 Å, b = 5.2235 Å, c = 5.2235 Å
α = 60.00°, β = 60.00°, γ = 60.00°
Site moments in Bohr magnetons follow the coordinates.
Fractional coordinates of all 4 atoms:
1 Pa 0.7500 0.7500 0.7500  1.12
2 Bi 0.5000 0.5000 0.5000  0.06
3 Ag 0.2500 0.2500 0.2500  0.01
4 Hg 0.0000 0.0000 0.0000  0.02

Computed properties:
total magnetic moment	1.41	μB/cell
energy relative to the elements	0.39	eV/f.u.
ρ	12.33	Mg/m³
total DFT energy (no corrections)	-16.14	eV/cell



# 11
Crystalline Dy2AlHg at its relaxed geometry, computed with GGA-PBE.

a = 3.6432 Å, b = 3.6432 Å, c = 9.4823 Å
α = 78.92°, β = 78.92°, γ = 60.00°
Fractional coordinates of all 4 atoms:
1 Al 0.5000 0.5000 0.5000
2 Hg 0.0000 0.0000 0.0000
3 Dy 0.2471 0.2471 0.2587
4 Dy 0.7529 0.7529 0.7413

Computed properties:
total magnetic moment	0.00	μB/cell
energy relative to the elements	-1.09	eV/f.u.
ρ	8.63	Mg/m³
total DFT energy (no corrections)	-14.34	eV/cell
energy relative to the lowest polymorph listed for this composition	0.162	eV/atom



# 12
Crystalline Be4RhW at its relaxed geometry, computed with GGA-PBE.

a = 4.4084 Å, b = 4.4084 Å, c = 4.4084 Å
α = 60.00°, β = 60.00°, γ = 60.00°
Fractional coordinates of all 6 atoms:
1 Be 0.8860 0.3713 0.3713
2 Be 0.3713 0.3713 0.8860
3 Be 0.3713 0.8860 0.3713
4 Be 0.3713 0.3713 0.3713
5 Rh 0.7500 0.7500 0.7500
6 W 0.0000 0.0000 0.0000

Computed properties:
total magnetic moment	0.00	μB/cell
energy relative to the elements	-1.55	eV/f.u.
ρ	8.85	Mg/m³
total DFT energy (no corrections)	-36.76	eV/cell



What did the third record say?
Crystalline Ac5TbSn4 at its relaxed geometry, computed with GGA-PBE.

a = 5.5998 Å, b = 7.7144 Å, c = 11.8886 Å
α = 129.10°, β = 103.62°, γ = 90.00°
Fractional coordinates of all 10 atoms:
1 Ac 0.8330 0.6722 0.6661
2 Ac 0.8363 0.1755 0.6727
3 Ac 0.1637 0.8245 0.3273
4 Ac 0.5000 0.5000 0.0000
5 Ac 0.1670 0.3278 0.3339
6 Tb 0.5000 0.0000 0.0000
7 Sn 0.3286 0.9054 0.6573
8 Sn 0.9931 0.7543 0.9862
9 Sn 0.6714 0.0946 0.3427
10 Sn 0.0069 0.2457 0.0138

Computed properties:
total magnetic moment	0.00	μB/cell
energy relative to the elements	-4.98	eV/f.u.
ρ	7.73	Mg/m³
total DFT energy (no corrections)	-46.16	eV/cell